1.
# PBE LaCeSm4Se8, relaxed
# * N(E_F): 13.47 states/eV/f.u.
# * E_form (uncorrected): -1.74 eV/atom
# * magnetization: 5.37 μB/cell
data_LaCeSm4Se8
_chemical_formula_sum 'La3 Ce3 Sm12 Se24'
_cell_length_a 8.6538
_cell_length_b 8.6538
_cell_length_c 21.3071
_cell_angle_alpha 90.00
_cell_angle_beta 90.00
_cell_angle_gamma 120.00
_space_group_name_H-M_alt 'R 3 m'
_space_group_IT_number 160
_space_group_name_Hall 'R 3 -2"'
loop_
_atom_site_label
_atom_site_fract_x
_atom_site_fract_y
_atom_site_fract_z
La1 0.0000 0.0000 0.0000
Ce1 0.0000 0.0000 0.3762
Sm1 0.0000 0.0000 0.7501
Sm2 0.1679 0.3359 0.2081
Se1 0.0000 0.0000 0.1353
Se2 0.0000 0.0000 0.6181
Se3 0.0161 0.5080 0.1289
Se4 0.1795 0.3590 0.9539


2.
# PBE La3Ce4SmSe8, relaxed
# * N(E_F): 27.19 states/eV/f.u.
# * E_form (uncorrected): -1.89 eV/atom
# * magnetization: 11.45 μB/cell
data_La3Ce4SmSe8
_chemical_formula_sum 'La9 Ce12 Sm3 Se24'
_cell_length_a 8.4789
_cell_length_b 8.4789
_cell_length_c 20.8818
_cell_angle_alpha 90.00
_cell_angle_beta 90.00
_cell_angle_gamma 120.00
_space_group_name_H-M_alt 'R -3 m'
_space_group_IT_number 166
_space_group_name_Hall '-R 3 2"'
loop_
_atom_site_label
_atom_site_fract_x
_atom_site_fract_y
_atom_site_fract_z
La1 0.0000 0.5000 0.0000
Ce1 0.0000 0.0000 0.5000
Ce2 0.0000 0.5000 0.5000
Sm1 0.0000 0.0000 0.0000
Se1 0.0000 0.0000 0.2477
Se2 0.0049 0.5024 0.7511


3.
# PBE LaCe3Sm4Se8, relaxed
# * N(E_F): 22.21 states/eV/f.u.
# * E_form (uncorrected): -1.85 eV/atom
# * magnetization: 8.82 μB/cell
data_LaCe3Sm4Se8
_chemical_formula_sum 'La3 Ce9 Sm12 Se24'
_cell_length_a 8.4004
_cell_length_b 8.4004
_cell_length_c 20.6198
_cell_angle_alpha 90.00
_cell_angle_beta 90.00
_cell_angle_gamma 120.00
_space_group_name_H-M_alt 'R -3 m'
_space_group_IT_number 166
_space_group_name_Hall '-R 3 2"'
loop_
_atom_site_label
_atom_site_fract_x
_atom_site_fract_y
_atom_site_fract_z
La1 0.0000 0.0000 0.0000
Ce1 0.0000 0.5000 0.0000
Sm1 0.0000 0.0000 0.5000
Sm2 0.0000 0.5000 0.5000
Se1 0.0000 0.0000 0.2490
Se2 0.0031 0.5016 0.2483


4.
# PBE La3Ce2SmSe6, relaxed
# * N(E_F): 15.68 states/eV/f.u.
# * E_form (uncorrected): -1.91 eV/atom
# * magnetization: 3.77 μB/cell
data_La3Ce2SmSe6
_chemical_formula_sum 'La6 Ce4 Sm2 Se12'
_cell_length_a 7.352
_cell_length_b 12.749
_cell_length_c 7.393
_cell_angle_alpha 90.00
_cell_angle_beta 109.43
_cell_angle_gamma 90.00
_space_group_name_H-M_alt 'C 1 2/m 1'
_space_group_IT_number 12
loop_
_space_group_symop_operation_xyz
'x,y,z'
'-x,-y,-z'
'-x,y,-z'
'x,-y,z'
'x+1/2,y+1/2,z'
'-x+1/2,-y+1/2,-z'
'-x+1/2,y+1/2,-z'
'x+1/2,-y+1/2,z'
loop_
_atom_site_label
_atom_site_fract_x
_atom_site_fract_y
_atom_site_fract_z
La1 0.000 0.000 0.000
La2 0.000 0.334 0.000
Ce1 0.000 0.166 0.500
Sm1 0.000 0.500 0.500
Se1 0.247 0.334 0.742
Se2 0.248 0.000 0.742


5.
# PBE La2CeSmSe5, relaxed
# * N(E_F): 10.62 states/eV/f.u.
# * E_form (uncorrected): -1.30 eV/atom
# * magnetization: 2.17 μB/cell
data_La2CeSmSe5
_chemical_formula_sum 'La2 Ce1 Sm1 Se5'
_cell_length_a 5.261
_cell_length_b 5.261
_cell_length_c 10.991
_cell_angle_alpha 90.00
_cell_angle_beta 90.00
_cell_angle_gamma 90.00
_space_group_name_H-M_alt 'P 4/m m m'
_space_group_IT_number 123
_space_group_name_Hall '-P 4 2'
loop_
_atom_site_label
_atom_site_fract_x
_atom_site_fract_y
_atom_site_fract_z
La1 0.000 0.000 0.181
Ce1 0.500 0.500 0.000
Sm1 0.500 0.500 0.500
Se1 0.000 0.000 0.500
Se2 0.000 0.500 0.000
Se3 0.500 0.500 0.254


6.
# PBE Sr2LaCeSe4, relaxed
# * N(E_F): 8.66 states/eV/f.u.
# * E_form (uncorrected): -1.93 eV/atom
# * magnetization: 1.50 μB/cell
data_Sr2LaCeSe4
_chemical_formula_sum 'Sr2 La1 Ce1 Se4'
_cell_length_a 7.492
_cell_length_b 4.323
_cell_length_c 7.633
_cell_angle_alpha 90.00
_cell_angle_beta 109.10
_cell_angle_gamma 90.00
_space_group_name_H-M_alt 'P 1 2/m 1'
_space_group_IT_number 10
loop_
_space_group_symop_operation_xyz
'x,y,z'
'-x,-y,-z'
'-x,y,-z'
'x,-y,z'
loop_
_atom_site_label
_atom_site_fract_x
_atom_site_fract_y
_atom_site_fract_z
Sr1 0.000 0.000 0.000
Sr2 0.500 0.500 0.000
La1 0.000 0.500 0.500
Ce1 0.500 0.000 0.500
Se1 0.251 0.000 0.744
Se2 0.255 0.500 0.257


7.
# PBE SrLaCe2Se4, relaxed
# * N(E_F): 14.44 states/eV/f.u.
# * E_form (uncorrected): -1.88 eV/atom
# * magnetization: 2.50 μB/cell
data_SrLaCe2Se4
_chemical_formula_sum 'Sr1 La1 Ce2 Se4'
_cell_length_a 7.418
_cell_length_b 4.264
_cell_length_c 7.487
_cell_angle_alpha 90.00
_cell_angle_beta 109.14
_cell_angle_gamma 90.00
_space_group_name_H-M_alt 'P 1 2/m 1'
_space_group_IT_number 10
loop_
_space_group_symop_operation_xyz
'x,y,z'
'-x,-y,-z'
'-x,y,-z'
'x,-y,z'
loop_
_atom_site_label
_atom_site_fract_x
_atom_site_fract_y
_atom_site_fract_z
Sr1 0.000 0.000 0.000
La1 0.500 0.500 0.000
Ce1 0.000 0.500 0.500
Ce2 0.500 0.000 0.500
Se1 0.248 0.000 0.744
Se2 0.253 0.500 0.257


8.
# PBE La3Tb2CeSe6, relaxed
# * N(E_F): 11.43 states/eV/f.u.
# * E_form (uncorrected): -1.90 eV/atom
# * magnetization: 1.83 μB/cell
data_La3Tb2CeSe6
_chemical_formula_sum 'La6 Tb4 Ce2 Se12'
_cell_length_a 7.289
_cell_length_b 12.655
_cell_length_c 7.347
_cell_angle_alpha 90.00
_cell_angle_beta 109.45
_cell_angle_gamma 90.00
_space_group_name_H-M_alt 'C 1 2/m 1'
_space_group_IT_number 12
loop_
_space_group_symop_operation_xyz
'x,y,z'
'-x,-y,-z'
'-x,y,-z'
'x,-y,z'
'x+1/2,y+1/2,z'
'-x+1/2,-y+1/2,-z'
'-x+1/2,y+1/2,-z'
'x+1/2,-y+1/2,z'
loop_
_atom_site_label
_atom_site_fract_x
_atom_site_fract_y
_atom_site_fract_z
La1 0.000 0.000 0.000
La2 0.000 0.335 0.000
Tb1 0.000 0.167 0.500
Ce1 0.000 0.500 0.500
Se1 0.239 0.000 0.735
Se2 0.248 0.331 0.737


9.
# PBE LaTbCe2Se5, relaxed
# * N(E_F): 19.29 states/eV/f.u.
# * E_form (uncorrected): -1.35 eV/atom
# * magnetization: 3.67 μB/cell
data_LaTbCe2Se5
_chemical_formula_sum 'La1 Tb1 Ce2 Se5'
_cell_length_a 5.163
_cell_length_b 5.163
_cell_length_c 11.064
_cell_angle_alpha 90.00
_cell_angle_beta 90.00
_cell_angle_gamma 90.00
_space_group_name_H-M_alt 'P 4/m m m'
_space_group_IT_number 123
_space_group_name_Hall '-P 4 2'
loop_
_atom_site_label
_atom_site_fract_x
_atom_site_fract_y
_atom_site_fract_z
La1 0.000 0.000 0.000
Tb1 0.000 0.000 0.500
Ce1 0.500 0.500 0.318
Se1 0.000 0.000 0.249
Se2 0.000 0.500 0.500
Se3 0.500 0.500 0.000


10.
# PBE La2TbCe3Se6, relaxed
# * N(E_F): 20.36 states/eV/f.u.
# * E_form (uncorrected): -1.87 eV/atom
# * magnetization: 5.90 μB/cell
data_La2TbCe3Se6
_chemical_formula_sum 'La4 Tb2 Ce6 Se12'
_cell_length_a 7.305
_cell_length_b 12.662
_cell_length_c 7.340
_cell_angle_alpha 90.00
_cell_angle_beta 109.44
_cell_angle_gamma 90.00
_space_group_name_H-M_alt 'C 1 2/m 1'
_space_group_IT_number 12
loop_
_space_group_symop_operation_xyz
'x,y,z'
'-x,-y,-z'
'-x,y,-z'
'x,-y,z'
'x+1/2,y+1/2,z'
'-x+1/2,-y+1/2,-z'
'-x+1/2,y+1/2,-z'
'x+1/2,-y+1/2,z'
loop_
_atom_site_label
_atom_site_fract_x
_atom_site_fract_y
_atom_site_fract_z
La1 0.000 0.166 0.000
Tb1 0.000 0.500 0.000
Ce1 0.000 0.000 0.500
Ce2 0.000 0.330 0.500
Se1 0.239 0.500 0.746
Se2 0.245 0.338 0.249


11.
# PBE La4Tb3CeSe8, relaxed
# * N(E_F): 13.53 states/eV/f.u.
# * E_form (uncorrected): -1.90 eV/atom
# * magnetization: 2.65 μB/cell
data_La4Tb3CeSe8
_chemical_formula_sum 'La12 Tb9 Ce3 Se24'
_cell_length_a 8.4122
_cell_length_b 8.4122
_cell_length_c 20.7893
_cell_angle_alpha 90.00
_cell_angle_beta 90.00
_cell_angle_gamma 120.00
_space_group_name_H-M_alt 'R -3 m'
_space_group_IT_number 166
_space_group_name_Hall '-R 3 2"'
loop_
_atom_site_label
_atom_site_fract_x
_atom_site_fract_y
_atom_site_fract_z
La1 0.0000 0.0000 0.0000
La2 0.0000 0.5000 0.0000
Tb1 0.0000 0.5000 0.5000
Ce1 0.0000 0.0000 0.5000
Se1 0.0000 0.0000 0.2443
Se2 0.0040 0.5020 0.7548


12.
# PBE La2TbCeSe4, relaxed
# * N(E_F): 9.22 states/eV/f.u.
# * E_form (uncorrected): -1.90 eV/atom
# * magnetization: 0.98 μB/cell
data_La2TbCeSe4
_chemical_formula_sum 'La2 Tb1 Ce1 Se4'
_cell_length_a 7.332
_cell_length_b 4.210
_cell_length_c 7.357
_cell_angle_alpha 90.00
_cell_angle_beta 109.21
_cell_angle_gamma 90.00
_space_group_name_H-M_alt 'P 1 2/m 1'
_space_group_IT_number 10
loop_
_space_group_symop_operation_xyz
'x,y,z'
'-x,-y,-z'
'-x,y,-z'
'x,-y,z'
loop_
_atom_site_label
_atom_site_fract_x
_atom_site_fract_y
_atom_site_fract_z
La1 0.000 0.000 0.000
La2 0.500 0.500 0.000
Tb1 0.000 0.500 0.500
Ce1 0.500 0.000 0.500
Se1 0.241 0.000 0.736
Se2 0.249 0.500 0.261